Density functional theory data (PBE with a Hubbard U) for an optimized crystal structure of Ni3OF5.

Computed properties:
total moment	7.01	μB per formula unit
total energy	-4.274	eV/atom
offset from the most stable computed form	5	meV per atom
calculated density	4.63	g/cm³
calculated volume	206	Å³ per cell

a = 5.6325 Å, b = 5.6325 Å, c = 7.2912 Å
α = 107.26°, β = 107.26°, γ = 73.19°
Last column: nearest neighbours and their distance in Å.
Positions (direct):
Ni: 0.0000 0.0000 0.0000  2 O 2.01, 4 F 2.03-2.04
Ni: 0.0000 0.0000 0.5000  2 O 1.99, 4 F 2.05
Ni: 0.3255 0.3255 0.3351  1 O 1.97, 5 F 2.03-2.05
Ni: 0.3345 0.3345 0.8333  6 F 2.00-2.03
Ni: 0.6655 0.6655 0.1667  6 F 2.00-2.03
Ni: 0.6745 0.6745 0.6649  1 O 1.97, 5 F 2.03-2.05
O: 0.0977 0.0977 0.2960  3 Ni 1.97-2.01
O: 0.9023 0.9023 0.7040  3 Ni 1.97-2.01
F: 0.0275 0.6329 0.3346  3 Ni 2.03-2.05
F: 0.2334 0.2334 0.0351  3 Ni 2.00-2.03
F: 0.3037 0.6963 0.0000  3 Ni 2.03-2.04
F: 0.3671 0.9725 0.6654  3 Ni 2.03-2.05
F: 0.4394 0.4394 0.6333  3 Ni 2.01-2.05
F: 0.5606 0.5606 0.3667  3 Ni 2.01-2.05
F: 0.6329 0.0275 0.3346  3 Ni 2.03-2.05
F: 0.6963 0.3037 0.0000  3 Ni 2.03-2.04
F: 0.7666 0.7666 0.9649  3 Ni 2.00-2.03
F: 0.9725 0.3671 0.6654  3 Ni 2.03-2.05